1.
Material: LaBe2Zn
Method: DFT, meta-GGA SCAN
State: single point on PBEsol structure

The value obtained for the formation enthalpy at 0 K is 176 meV per atom. The value obtained for the final energy is -16.156 eV/atom.

It has space group Imm2 (No. 44), with a = 4.206 Å, b = 4.998 Å, c = 6.627 Å, α = 90.00°, β = 90.00° and γ = 90.00°. The inequivalent atoms are La at (0.000, 0.000, 0.000), Be at (0.000, 0.000, 0.527), Be at (0.000, 0.500, 0.196) and Zn at (0.000, 0.500, 0.802).



2.
Material: SrTaW2
Method: DFT, meta-GGA SCAN
State: single point on PBEsol structure

The value obtained for the formation enthalpy at 0 K is 918 meV per atom. The value obtained for the final energy is -56.141 eV/atom.

It has space group P4/mmm (No. 123), with a = 2.747 Å, b = 2.747 Å, c = 10.139 Å, α = 90.00°, β = 90.00° and γ = 90.00°. The inequivalent atoms are Sr at (0.000, 0.000, 0.000), Ta at (0.000, 0.000, 0.500) and W at (0.500, 0.500, 0.278).



3.
Material: BiSN2O
Method: DFT, meta-GGA SCAN
State: single point on PBEsol structure

The calculation puts the uncorrected formation energy at 1.78 eV/atom. The value obtained for the final energy is -20.821 eV/atom.

It has space group P4/mmm (No. 123), with a = 4.040 Å, b = 4.040 Å, c = 3.758 Å, α = 90.00°, β = 90.00° and γ = 90.00°. The inequivalent atoms are Bi at (0.000, 0.000, 0.000), S at (0.500, 0.500, 0.000), N at (0.000, 0.500, 0.500) and O at (0.500, 0.500, 0.500).



- Which value of final energy does entry 3 give?
  -20.821 eV/atom



- Which value of final energy does entry 2 give?
  -56.141 eV/atom



- What is the final energy in the third record?
  -20.821 eV/atom



- Look up the final energy of the third one.
  -20.821 eV/atom